[1]
Here is Pr2SiGePt6 after structural relaxation from Alexandria via LeMat-Bulk. Energies are from PBE.

Geometry as extended XYZ:
```
20
Lattice="5.5938 0.0000 0.0000 0.0000 8.6330 0.0000 0.0000 0.0000 8.3376" Properties=species:S:1:pos:R:3 pbc="T T T"
Pr 1.3984 0.0202 1.9027
Pr 1.3984 4.2963 1.9027
Pr 4.1953 4.3368 6.4349
Pr 4.1953 8.6128 6.4349
Si 1.3984 2.1583 6.2675
Si 4.1953 6.4748 2.0702
Ge 1.3984 6.4748 6.4011
Ge 4.1953 2.1583 1.9366
Pt 0.0034 6.4748 4.1465
Pt 0.0093 2.1583 8.2162
Pt 1.3984 0.0018 5.1214
Pt 1.3984 4.3147 5.1214
Pt 2.7876 2.1583 8.2162
Pt 2.7935 6.4748 4.1465
Pt 2.8003 2.1583 4.1911
Pt 2.8062 6.4748 0.1214
Pt 4.1953 8.6312 3.2163
Pt 4.1953 4.3183 3.2163
Pt 5.5845 6.4748 0.1214
Pt 5.5904 2.1583 4.1911
```

Formation energy (no corrections)   -0.932 eV per atom
DFT total energy   -6.5169 eV/atom

***

[2]
Here is Si3RhN after structural relaxation from Alexandria via LeMat-Bulk. Energies are from PBE.

Geometry as extended XYZ:
```
5
Lattice="4.5095 0.0000 0.0000 0.0000 4.5095 0.0000 0.0000 0.0000 4.5095" Properties=species:S:1:pos:R:3 pbc="T T T"
Si 0.0000 0.0000 2.2548
Si 0.0000 2.2548 0.0000
Si 2.2548 0.0000 0.0000
Rh 0.0000 0.0000 0.0000
N 2.2548 2.2548 2.2548
```

E above lowest polymorph   4.25 eV/f.u.
Formation energy (no corrections)   1.181 eV per atom
DFT total energy   -5.2080 eV/atom

***

[3]
Here is LiBeHPd2 after structural relaxation from Alexandria via LeMat-Bulk. Energies are from PBE.

Geometry as extended XYZ:
```
5
Lattice="4.0313 0.0000 0.0000 0.0000 4.0313 0.0000 0.0000 0.0000 3.1936" Properties=species:S:1:pos:R:3 pbc="T T T"
Li 0.0000 0.0000 0.0000
Be 2.0156 2.0156 0.0000
H 2.0156 2.0156 1.5968
Pd 0.0000 2.0156 1.5968
Pd 2.0156 0.0000 1.5968
```

E above lowest polymorph   0.36 eV/f.u.
DFT total energy   -4.1765 eV/atom

***

[4]
Here is LaGdCuOs after structural relaxation from Alexandria via LeMat-Bulk. Energies are from PBE.

Geometry as extended XYZ:
```
4
Lattice="0.0000 3.5312 3.5312 3.5312 0.0000 3.5312 3.5312 3.5312 0.0000" Properties=species:S:1:pos:R:3 pbc="T T T"
La 0.0000 0.0000 0.0000
Gd 3.5312 3.5312 3.5312
Cu 1.7656 1.7656 1.7656
Os 5.2968 5.2968 5.2968
```

DFT total energy   -8.7070 eV/atom

***

[5]
Here is K2MoRh after structural relaxation from Alexandria via LeMat-Bulk. Energies are from PBE.

Geometry as extended XYZ:
```
4
Lattice="2.6771 -5.7542 0.0000 2.6771 5.7542 0.0000 0.0000 0.0000 2.8173" Properties=species:S:1:pos:R:3 pbc="T T T"
K 1.3385 2.8771 0.0000
K 1.3385 -2.8771 0.0000
Mo 0.0000 0.0000 1.4086
Rh 2.6771 0.0000 1.4086
```

E above lowest polymorph   2.27 eV/f.u.
DFT total energy   -3.9071 eV/atom

***

[6]
Here is Rb2BiCl after structural relaxation from Alexandria via LeMat-Bulk. Energies are from PBE.

Geometry as extended XYZ:
```
8
Lattice="-4.6488 4.6488 4.7844 4.6488 -4.6488 4.7844 4.6488 4.6488 -4.7844" Properties=species:S:1:pos:R:3 pbc="T T T"
Rb 6.9733 1.7874 -1.1961
Rb 1.7874 2.3244 1.1961
Rb -2.3244 2.8615 3.5883
Rb 2.8615 2.3244 5.9805
Bi 4.6488 0.0000 2.3922
Bi 0.0000 0.0000 4.7844
Cl 0.0000 0.0000 0.0000
Cl 0.0000 4.6488 2.3922
```

E above lowest polymorph   1.20 eV/f.u.
Formation energy (no corrections)   -0.723 eV per atom
DFT total energy   -2.6391 eV/atom

***

[7]
Here is Zn2GaAg5 after structural relaxation from Alexandria via LeMat-Bulk. Energies are from PBE.

Geometry as extended XYZ:
```
16
Lattice="5.7949 0.0000 0.0000 0.0000 11.2109 0.0000 0.0000 0.0000 4.1609" Properties=species:S:1:pos:R:3 pbc="T T T"
Zn 1.2070 1.4843 0.0000
Zn 1.6904 7.0898 0.0000
Zn 4.1044 4.1212 0.0000
Zn 4.5879 9.7266 0.0000
Ga 0.0000 5.6055 2.0804
Ga 2.8974 0.0000 2.0804
Ag 0.0000 0.0000 2.0804
Ag 0.2549 8.3276 2.0804
Ag 1.2650 4.2952 0.0000
Ag 1.6325 9.9007 0.0000
Ag 2.6426 2.7222 2.0804
Ag 2.8974 5.6055 2.0804
Ag 3.1523 8.4887 2.0804
Ag 4.1624 1.3102 0.0000
Ag 4.5299 6.9157 0.0000
Ag 5.5400 2.8833 2.0804
```

E above lowest polymorph   0.00 eV/f.u.
DFT total energy   -2.4927 eV/atom

***

[8]
Here is KY2Cl after structural relaxation from Alexandria via LeMat-Bulk. Energies are from PBE.

Geometry as extended XYZ:
```
4
Lattice="-2.2676 2.2676 7.3590 2.2676 -2.2676 7.3590 2.2676 2.2676 -7.3590" Properties=species:S:1:pos:R:3 pbc="T T T"
K 0.0000 0.0000 0.0000
Y 2.2676 0.0000 3.6795
Y 0.0000 2.2676 3.6795
Cl 0.0000 0.0000 7.3590
```

E above lowest polymorph   2.21 eV/f.u.
Formation energy (no corrections)   -0.094 eV per atom
DFT total energy   -4.0623 eV/atom

***

[9]
Here is Sc2TlAu after structural relaxation from Alexandria via LeMat-Bulk. Energies are from PBE.

Geometry as extended XYZ:
```
4
Lattice="-2.0970 2.0970 4.9086 2.0970 -2.0970 4.9086 2.0970 2.0970 -4.9086" Properties=species:S:1:pos:R:3 pbc="T T T"
Sc 0.0000 0.0000 0.0000
Sc 0.0000 2.0970 2.4543
Tl 2.0970 0.0000 2.4543
Au 0.0000 0.0000 4.9086
```

DFT total energy   -4.9510 eV/atom

***

[10]
Here is CeCdP2 after structural relaxation from Alexandria via LeMat-Bulk. Energies are from PBE.

Geometry as extended XYZ:
```
4
Lattice="4.6267 0.0000 0.0000 0.0000 4.6267 0.0000 0.0000 0.0000 3.6895" Properties=species:S:1:pos:R:3 pbc="T T T"
Ce 0.0000 0.0000 0.0000
Cd 2.3134 2.3134 0.0000
P 0.0000 2.3134 1.8448
P 2.3134 0.0000 1.8448
```

E above lowest polymorph   0.00 eV/f.u.
DFT total energy   -5.0770 eV/atom

***

[11]
Here is TaTcF2 after structural relaxation from Alexandria via LeMat-Bulk. Energies are from PBE.

Geometry as extended XYZ:
```
4
Lattice="1.3681 0.7899 10.3239 -1.3681 0.7899 10.3239 0.0000 -1.5797 10.3239" Properties=species:S:1:pos:R:3 pbc="T T T"
Ta 0.0000 0.0000 0.0000
Tc 0.0000 0.0000 15.4858
F 0.0000 0.0000 11.8733
F 0.0000 0.0000 19.0983
```

E above lowest polymorph   0.00 eV/f.u.
Formation energy (no corrections)   -0.840 eV per atom
DFT total energy   -7.3304 eV/atom

***

[12]
Here is AgRuSe4 after structural relaxation from Alexandria via LeMat-Bulk. Energies are from PBE.

Geometry as extended XYZ:
```
12
Lattice="6.4378 0.0000 0.0000 -2.2807 6.2659 0.0000 -2.8661 -1.7448 7.0327" Properties=species:S:1:pos:R:3 pbc="T T T"
Ag -1.3125 2.1183 2.8061
Ag 2.6036 2.4029 4.2266
Ru -0.4522 0.1363 6.6855
Ru 1.7433 4.3848 0.3472
Se -2.7801 1.1261 6.2633
Se -2.8354 4.9076 4.6208
Se -0.1513 5.9392 1.0803
Se 1.3059 2.4954 1.9389
Se -0.0148 2.0257 5.0938
Se 1.4424 -1.4181 5.9524
Se 4.1265 -0.3865 2.4119
Se 4.0712 3.3950 0.7694
```

E above lowest polymorph   0.00 eV/f.u.
Formation energy (no corrections)   -0.049 eV per atom
DFT total energy   -4.3933 eV/atom

***

[13]
Here is SrThAs2 after structural relaxation from Alexandria via LeMat-Bulk. Energies are from PBE.

Geometry as extended XYZ:
```
4
Lattice="2.1657 1.2504 7.4562 -2.1657 1.2504 7.4562 0.0000 -2.5008 7.4562" Properties=species:S:1:pos:R:3 pbc="T T T"
Sr 0.0000 0.0000 0.0000
Th 0.0000 0.0000 18.5428
As 0.0000 0.0000 5.3173
As 0.0000 0.0000 9.4331
```

E above lowest polymorph   0.37 eV/f.u.
DFT total energy   -5.8676 eV/atom

***

[14]
Here is LiFePt2 after structural relaxation from Alexandria via LeMat-Bulk. Energies are from PBE.

Geometry as extended XYZ:
```
4
Lattice="2.8106 0.0000 0.0000 0.0000 4.4006 0.0000 0.0000 0.0000 4.4557" Properties=species:S:1:pos:R:3 pbc="T T T"
Li 0.0000 0.0000 0.0000
Fe 0.0000 2.2003 1.8594
Pt 1.4053 0.0000 2.2277
Pt 1.4053 2.2003 4.1221
```

DFT total energy   -5.9784 eV/atom

***

[15]
Here is Nd2Ho2ErTm after structural relaxation from Alexandria via LeMat-Bulk. Energies are from PBE.

Geometry as extended XYZ:
```
12
Lattice="6.9865 0.0000 0.0000 0.0000 5.6274 0.0000 0.0000 0.0000 9.7577" Properties=species:S:1:pos:R:3 pbc="T T T"
Nd 0.0000 0.0000 0.0000
Nd 1.7466 2.8137 1.7400
Nd 3.4932 0.0000 0.0000
Nd 5.2399 2.8137 8.0176
Ho 1.7466 0.0000 3.2461
Ho 1.7466 2.8137 8.1596
Ho 5.2399 0.0000 6.5116
Ho 5.2399 2.8137 1.5980
Er 1.7466 0.0000 6.4255
Er 5.2399 0.0000 3.3321
Tm 0.0000 2.8137 4.8788
Tm 3.4932 2.8137 4.8788
```

DFT total energy   -4.5526 eV/atom

***

[16]
Here is LaAs3 after structural relaxation from Alexandria via LeMat-Bulk. Energies are from PBE.

Geometry as extended XYZ:
```
4
Lattice="-2.4306 4.6334 2.0889 2.4306 -4.6334 2.0889 2.4306 4.6334 -2.0889" Properties=species:S:1:pos:R:3 pbc="T T T"
La 0.0000 0.0000 0.0000
As 2.4306 2.0163 -0.4275
As 0.0000 4.6334 0.0686
As 0.0000 2.6171 1.6614
```

DFT total energy   -5.3223 eV/atom

***

[17]
Here is TbNdCd17 after structural relaxation from Alexandria via LeMat-Bulk. Energies are from PBE.

Geometry as extended XYZ:
```
19
Lattice="5.0362 2.9077 5.0002 -5.0362 2.9077 5.0002 0.0000 -5.8154 5.0002" Properties=species:S:1:pos:R:3 pbc="T T T"
Tb 0.0000 0.0000 0.0000
Nd 0.0000 0.0000 5.1434
Cd 0.0000 -3.0652 2.9439
Cd -2.6546 1.5326 2.9439
Cd -2.2994 -1.3275 7.5288
Cd 0.0000 -3.3759 7.3838
Cd -2.9236 1.6880 7.3838
Cd -1.5423 -2.6287 10.1130
Cd -3.0477 -0.0213 10.1130
Cd 2.6545 1.5326 2.9439
Cd 0.0000 0.0000 8.7236
Cd 2.2994 -1.3275 7.5288
Cd 0.0000 2.6551 7.5288
Cd 1.5423 -2.6287 10.1130
Cd -1.5054 2.6500 10.1130
Cd 0.0000 0.0000 11.6722
Cd 2.9236 1.6880 7.3838
Cd 3.0477 -0.0213 10.1130
Cd 1.5054 2.6500 10.1130
```

DFT total energy   -1.4477 eV/atom

***

[18]
Here is Tl2AgI4 after structural relaxation from Alexandria via LeMat-Bulk. Energies are from PBE.

Geometry as extended XYZ:
```
7
Lattice="-2.9029 2.9029 8.5086 2.9029 -2.9029 8.5086 2.9029 2.9029 -8.5086" Properties=species:S:1:pos:R:3 pbc="T T T"
Tl 0.0000 0.0000 2.2681
Tl 0.0000 0.0000 14.7491
Ag 0.0000 0.0000 8.5086
I 2.9029 0.0000 0.0000
I 0.0000 0.0000 5.5969
I 0.0000 2.9029 0.0000
I 0.0000 0.0000 11.4203
```

E above lowest polymorph   0.14 eV/f.u.
Formation energy (no corrections)   -0.365 eV per atom
DFT total energy   -2.3346 eV/atom

***

[19]
Here is Ba2H2Se after structural relaxation from Alexandria via LeMat-Bulk. Energies are from PBE.

Geometry as extended XYZ:
```
5
Lattice="-2.1048 2.1048 6.9623 2.1048 -2.1048 6.9623 2.1048 2.1048 -6.9623" Properties=species:S:1:pos:R:3 pbc="T T T"
Ba 0.0000 0.0000 1.8758
Ba 0.0000 0.0000 12.0488
H 2.1048 0.0000 3.4812
H 0.0000 2.1048 3.4812
Se 0.0000 0.0000 6.9623
```

E above lowest polymorph   0.11 eV/f.u.
DFT total energy   -3.8905 eV/atom

***

[20]
Here is MoIrRu2 after structural relaxation from Alexandria via LeMat-Bulk. Energies are from PBE.

Geometry as extended XYZ:
```
4
Lattice="1.3684 0.7900 8.9845 -1.3684 0.7900 8.9845 0.0000 -1.5801 8.9845" Properties=species:S:1:pos:R:3 pbc="T T T"
Mo 0.0000 0.0000 0.0000
Ir 0.0000 0.0000 13.4768
Ru 0.0000 0.0000 6.7223
Ru 0.0000 0.0000 20.2313
```

E above lowest polymorph   0.92 eV/f.u.
DFT total energy   -9.4966 eV/atom

***

[21]
Here is TbPmDyTh2 after structural relaxation from Alexandria via LeMat-Bulk. Energies are from PBE.

Geometry as extended XYZ:
```
10
Lattice="3.3388 -7.8453 0.0000 3.3388 7.8453 0.0000 0.0000 0.0000 6.6804" Properties=species:S:1:pos:R:3 pbc="T T T"
Tb 3.3388 4.0597 5.0103
Tb 3.3388 -4.0597 1.6701
Pm 3.3388 2.3857 1.6701
Pm 3.3388 -2.3857 5.0103
Dy 3.3388 5.4641 1.6701
Dy 3.3388 -5.4641 5.0103
Th 1.6538 0.0000 0.0000
Th 1.6538 0.0000 3.3402
Th 5.0238 0.0000 0.0000
Th 5.0238 0.0000 3.3402
```

DFT total energy   -5.3552 eV/atom

***

[22]
Here is BaBeSnTe2 after structural relaxation from Alexandria via LeMat-Bulk. Energies are from PBE.

Geometry as extended XYZ:
```
5
Lattice="6.1148 0.0000 0.0000 0.0000 6.1148 0.0000 0.0000 0.0000 4.5882" Properties=species:S:1:pos:R:3 pbc="T T T"
Ba 0.0000 0.0000 0.0000
Be 3.0574 3.0574 0.0000
Sn 3.0574 3.0574 2.2941
Te 0.0000 3.0574 2.2941
Te 3.0574 0.0000 2.2941
```

Formation energy (no corrections)   -0.360 eV per atom
DFT total energy   -3.5471 eV/atom

***

[23]
Here is Lu2ScCu after structural relaxation from Alexandria via LeMat-Bulk. Energies are from PBE.

Geometry as extended XYZ:
```
4
Lattice="4.9628 0.0000 0.0000 0.0000 4.9628 0.0000 0.0000 0.0000 3.7364" Properties=species:S:1:pos:R:3 pbc="T T T"
Lu 0.0000 2.4814 0.0000
Lu 2.4814 0.0000 0.0000
Sc 0.0000 0.0000 1.8682
Cu 2.4814 2.4814 1.8682
```

E above lowest polymorph   0.63 eV/f.u.
DFT total energy   -4.8197 eV/atom

***

[24]
Here is Sm2Pu2Ge3 after structural relaxation from Alexandria via LeMat-Bulk. Energies are from PBE.

Geometry as extended XYZ:
```
7
Lattice="4.4435 -2.5328 0.0000 4.4435 2.5328 0.0000 -2.0054 0.0000 8.0017" Properties=species:S:1:pos:R:3 pbc="T T T"
Sm 0.4711 0.0000 2.9593
Sm 6.4104 0.0000 5.0424
Pu 3.3921 0.0000 1.0878
Pu 3.4894 0.0000 6.9139
Ge 0.5163 0.0000 6.2443
Ge 3.4408 0.0000 4.0009
Ge 6.3652 0.0000 1.7574
```

DFT total energy   -7.8256 eV/atom

***

[25]
Here is Rb2LiZn2 after structural relaxation from Alexandria via LeMat-Bulk. Energies are from PBE.

Geometry as extended XYZ:
```
10
Lattice="10.4028 0.0000 0.0000 0.0000 10.4028 0.0000 0.0000 0.0000 3.7551" Properties=species:S:1:pos:R:3 pbc="T T T"
Rb 2.0313 3.1701 0.0000
Rb 3.1701 8.3715 0.0000
Rb 7.2328 2.0313 0.0000
Rb 8.3715 7.2328 0.0000
Li 0.0000 0.0000 0.0000
Li 5.2014 5.2014 0.0000
Zn 0.9348 6.1362 1.8775
Zn 4.2667 0.9348 1.8775
Zn 6.1362 9.4681 1.8775
Zn 9.4681 4.2667 1.8775
```

E above lowest polymorph   0.54 eV/f.u.
DFT total energy   -0.9901 eV/atom